Record 1
First-principles (GGA-PBE) data for NpVTc2 after structural relaxation, as listed in Alexandria via LeMat-Bulk.

abc: 9.013 9.013 9.013
angles: 18.42 18.42 18.42
Element x y z (fractional)
Np 0.000 0.000 0.000
V 0.500 0.500 0.500
Tc 0.239 0.239 0.239
Tc 0.761 0.761 0.761

Properties
Formation energy from the elements, eV/atom: 0.197
Total moment, μB per cell: 2.515

***

Record 2
First-principles (GGA-PBE) data for NpV2Tc after structural relaxation, as listed in Alexandria via LeMat-Bulk.

abc: 4.427 4.427 4.427
angles: 60.00 60.00 60.00
Element x y z (fractional)
Np 0.000 0.000 0.000
V 0.250 0.250 0.250
V 0.750 0.750 0.750
Tc 0.500 0.500 0.500

Properties
Formation energy from the elements, eV/atom: 0.198
Total moment, μB per cell: 2.197

***

Summary of E above lowest polymorph in meV per atom
190 98
(order as listed above)
Summary of DFT total energy in eV/atom
-10.50 -10.19
(order as listed above)
Summary of density of states at the Fermi level in states/eV/atom
1.63 2.22
(order as listed above)